LiAlBr after structural relaxation, computed with PBE.

The value obtained for the uncorrected formation energy is -0.38 eV per atom. The calculation puts the magnetization at 0.00 μB per formula unit. The calculation puts the electronic total energy at -2.821 eV/atom. The excess energy over the best structure of this formula in the dataset is 0.0258 eV per atom.

Cell: 3.567 3.567 5.973 Å, 90.00 90.00 120.00°
Sites, in units of the cell vectors:
Li1 0.000 0.000 0.000
Al1 0.333 0.667 0.356
Br1 0.667 0.333 0.748